Entry from OQMD via LeMat-Bulk: a geometry-optimized ScTlHgSe3 structure (PBE).

Values from the calculation:
total energy: -4.06 eV per atom
crystal system: orthorhombic
spin magnetization: 0.0 Bohr magnetons per cell
space-group type: Cmcm, No. 63

abc: 7.6233 7.6233 10.7391
angles: 90.00 90.00 149.22
Last column: nearest neighbours and their distance in Å.
Element x y z (fractional)
Sc 0.0000 0.0000 0.0000  6 Se 2.78-2.88
Sc 0.0000 0.0000 0.5000  6 Se 2.78-2.88
Tl 0.2532 0.7468 0.7500  8 Se 3.28-3.61, 2 Hg 3.57
Tl 0.7468 0.2532 0.2500  8 Se 3.28-3.61, 2 Hg 3.57
Hg 0.4468 0.5532 0.2500  4 Se 2.60-2.73
Hg 0.5532 0.4468 0.7500  4 Se 2.60-2.73
Se 0.0711 0.9289 0.2500  2 Hg 2.73, 2 Sc 2.88
Se 0.3725 0.6275 0.0305  1 Hg 2.60, 2 Sc 2.78
Se 0.3725 0.6275 0.4695  1 Hg 2.60, 2 Sc 2.78
Se 0.6275 0.3725 0.5305  1 Hg 2.60, 2 Sc 2.78
Se 0.6275 0.3725 0.9695  1 Hg 2.60, 2 Sc 2.78
Se 0.9289 0.0711 0.7500  2 Hg 2.73, 2 Sc 2.88